The following is a DFT calculation (PBE) of a relaxed Tm2ScBe crystal.

The calculation puts the formation energy at 56 meV per atom. For the energy above the lowest structure with this stoichiometry, the calculation gives 0.0000 eV/atom. The calculated total energy is -4.69 eV per atom.

It has space group P4/mmm (No. 123), with a = 3.3702 Å, b = 3.3702 Å, c = 8.1719 Å, α = 90.00°, β = 90.00° and γ = 90.00°. The asymmetric unit holds Tm at (0.0000, 0.0000, 0.2009), Sc at (0.5000, 0.5000, 0.5000) and Be at (0.5000, 0.5000, 0.0000).

=====

The following is a DFT calculation (PBE) of a relaxed LaAl2Cl crystal.

The formation energy without anion corrections is -689 meV/atom. For the energy above the lowest structure with this stoichiometry, the calculation gives 0.0000 eV/atom. The calculated total energy is -4.25 eV per atom.

It has space group R3m (No. 160, hexagonal axes), with a = 4.4426 Å, b = 4.4426 Å, c = 22.7717 Å, α = 90.00°, β = 90.00° and γ = 120.00°. The asymmetric unit holds La at (0.0000, 0.0000, 0.0000), Al at (0.0000, 0.0000, 0.4247), Al at (0.0000, 0.0000, 0.7493) and Cl at (0.0000, 0.0000, 0.2635).

=====

The following is a DFT calculation (PBE) of a relaxed BaTl2Se crystal.

The formation energy without anion corrections is -772 meV/atom. The calculated total energy is -3.31 eV per atom.

It has space group Amm2 (No. 38), with a = 4.3784 Å, b = 4.8018 Å, c = 13.2620 Å, α = 90.00°, β = 90.00° and γ = 90.00°. The asymmetric unit holds Ba at (0.0000, 0.0000, 0.0000), Tl at (0.0000, 0.0000, 0.2733), Tl at (0.5000, 0.0000, 0.7116) and Se at (0.5000, 0.0000, 0.4759).

=====

The following is a DFT calculation (PBE) of a relaxed ZnMo2Se crystal.

The formation energy without anion corrections is 373 meV/atom. For the energy above the lowest structure with this stoichiometry, the calculation gives 0.2720 eV/atom. The calculated total energy is -6.23 eV per atom.

It has space group Immm (No. 71), with a = 3.1940 Å, b = 4.5682 Å, c = 8.7391 Å, α = 90.00°, β = 90.00° and γ = 90.00°. The asymmetric unit holds Zn at (0.0000, 0.0000, 0.0000), Mo at (0.0000, 0.5000, 0.2436) and Se at (0.0000, 0.0000, 0.5000).

=====

The following is a DFT calculation (PBE) of a relaxed TbUC2 crystal.

The calculation puts the formation energy at -263 meV per atom. For the energy above the lowest structure with this stoichiometry, the calculation gives 0.0000 eV/atom. The calculated total energy is -8.85 eV per atom.

It has space group R-3m (No. 166, hexagonal axes), with a = 3.5927 Å, b = 3.5927 Å, c = 17.1212 Å, α = 90.00°, β = 90.00° and γ = 120.00°. The asymmetric unit holds Tb at (0.0000, 0.0000, 0.0000), U at (0.0000, 0.0000, 0.5000) and C at (0.0000, 0.0000, 0.2362).

=====

The following is a DFT calculation (PBE) of a relaxed TiB3I crystal.

The formation energy without anion corrections is 2532 meV/atom. For the energy above the lowest structure with this stoichiometry, the calculation gives 0.7212 eV/atom. The calculated total energy is -3.36 eV per atom.

It has space group Pm-3m (No. 221), with a = 4.3313 Å, b = 4.3313 Å, c = 4.3313 Å, α = 90.00°, β = 90.00° and γ = 90.00°. The asymmetric unit holds Ti at (0.0000, 0.0000, 0.0000), B at (0.0000, 0.5000, 0.5000) and I at (0.5000, 0.5000, 0.5000).

=====

The following is a DFT calculation (PBE) of a relaxed La2NdNi crystal.

The calculation puts the formation energy at -89 meV per atom. For the energy above the lowest structure with this stoichiometry, the calculation gives 0.0902 eV/atom. The calculated total energy is -5.19 eV per atom.

It has space group P4/mmm (No. 123), with a = 3.6199 Å, b = 3.6199 Å, c = 8.9552 Å, α = 90.00°, β = 90.00° and γ = 90.00°. The asymmetric unit holds La at (0.0000, 0.0000, 0.1872), Nd at (0.5000, 0.5000, 0.5000) and Ni at (0.5000, 0.5000, 0.0000).

=====

The following is a DFT calculation (PBE) of a relaxed NaAg2SeCl crystal.

The formation energy without anion corrections is -342 meV/atom. The calculated total energy is -2.81 eV per atom.

It has space group P4/mmm (No. 123), with a = 4.8155 Å, b = 4.8155 Å, c = 9.5502 Å, α = 90.00°, β = 90.00° and γ = 90.00°. The asymmetric unit holds Na at (0.0000, 0.0000, 0.0000), Ag at (0.0000, 0.5000, 0.5000), Se at (0.5000, 0.5000, 0.5000) and Cl at (0.5000, 0.5000, 0.0000).

=====

calculated total energy of number 6 (TiB3I)?
-3.36 eV per atom